Material: Ce4TmTh5
Method: DFT, PBE-GGA
State: relaxed

Properties
* calculated formation energy: 15 kJ/mol of formula units
* symmetry: P4/mmm, No. 123
* calculated volume: 298.7 Å³/cell

a = 3.5016 Å, b = 3.5016 Å, c = 24.3591 Å
α = 90.00°, β = 90.00°, γ = 90.00°
Sites, in units of the cell vectors:
Ce (0.0000, 0.0000, 0.0990)
Ce (0.0000, 0.0000, 0.2965)
Ce (0.0000, 0.0000, 0.7035)
Ce (0.0000, 0.0000, 0.9010)
Tm (0.0000, 0.0000, 0.5000)
Th (0.5000, 0.5000, 0.0000)
Th (0.5000, 0.5000, 0.1979)
Th (0.5000, 0.5000, 0.3965)
Th (0.5000, 0.5000, 0.6035)
Th (0.5000, 0.5000, 0.8021)